1.
Entry from the Alexandria database: a relaxed structure of AgHg3 (GGA-PBEsol).

Total DFT energy (no corrections) = -1.205 eV/atom

Lattice parameters (Å, degrees): 5.2194 6.0838 5.1415 90.00 90.00 90.00
With the nearest neighbours (Å) after each atom.
Atoms (fractional coordinates):
Ag: 0.2500 0.2500 0.1649  12 Hg 2.97-3.16
Ag: 0.7500 0.7500 0.8351  12 Hg 2.97-3.16
Hg: 0.2500 0.0037 0.6633  8 Hg 2.96-3.15, 4 Ag 2.97-3.16
Hg: 0.2500 0.4963 0.6633  8 Hg 2.96-3.15, 4 Ag 2.97-3.16
Hg: 0.2500 0.7500 0.1539  8 Hg 2.96-3.15, 4 Ag 3.04-3.08
Hg: 0.7500 0.2500 0.8461  8 Hg 2.96-3.15, 4 Ag 3.04-3.08
Hg: 0.7500 0.5037 0.3367  8 Hg 2.96-3.15, 4 Ag 2.97-3.16
Hg: 0.7500 0.9963 0.3367  8 Hg 2.96-3.15, 4 Ag 2.97-3.16



2.
Entry from the Alexandria database: a relaxed structure of LiLaMn (GGA-PBEsol).

Relative energy among the computed polymorphs = 0 meV/atom

Lattice parameters (Å, degrees): 3.4937 3.4937 10.7090 90.00 90.00 90.00
With the nearest neighbours (Å) after each atom.
Atoms (fractional coordinates):
Li: 0.0000 0.0000 0.0000  4 Mn 2.76
Li: 0.5000 0.5000 0.5000  4 Mn 2.76
La: 0.0000 0.0000 0.2928  5 Mn 3.12-3.45, 5 Li 3.14-3.32
La: 0.5000 0.5000 0.7928  5 Mn 3.12-3.45, 5 Li 3.14-3.32
Mn: 0.0000 0.0000 0.6150  4 Li 2.76
Mn: 0.5000 0.5000 0.1150  4 Li 2.76



3.
Entry from the Alexandria database: a relaxed structure of TcS2Br (GGA-PBEsol).

Raw formation energy = 0.45 eV per atom
Relative energy among the computed polymorphs = 649 meV/atom

Lattice parameters (Å, degrees): 2.7696 2.7696 34.9083 90.00 90.00 120.00
With the nearest neighbours (Å) after each atom.
Atoms (fractional coordinates):
Tc: 0.0000 0.0000 0.0000  2 S 2.27
Tc: 0.3333 0.6667 0.6667  2 S 2.27
Tc: 0.6667 0.3333 0.3333  2 S 2.27
S: 0.0000 0.0000 0.0651  1 Tc 2.27
S: 0.0000 0.0000 0.9349  1 Tc 2.27
S: 0.3333 0.6667 0.6016  1 Tc 2.27
S: 0.3333 0.6667 0.7318  1 Tc 2.27
S: 0.6667 0.3333 0.2682  1 Tc 2.27
S: 0.6667 0.3333 0.3984  1 Tc 2.27
Br: 0.0000 0.0000 0.5000  6 Br 2.77
Br: 0.3333 0.6667 0.1667  6 Br 2.77
Br: 0.6667 0.3333 0.8333  6 Br 2.77



4.
Entry from the Alexandria database: a relaxed structure of CrSi2TeMo (GGA-PBEsol).

Raw formation energy = 1.02 eV per atom

Lattice parameters (Å, degrees): 4.3573 4.3573 5.1671 90.00 90.00 90.00
With the nearest neighbours (Å) after each atom.
Atoms (fractional coordinates):
Cr: 0.0000 0.0000 0.0000  4 Si 2.18
Si: 0.0000 0.5000 0.0000  2 Cr 2.18
Si: 0.5000 0.0000 0.0000  2 Cr 2.18
Te: 0.0000 0.0000 0.5000  2 Cr 2.58
Mo: 0.5000 0.5000 0.5000  4 Te 3.08, 8 Si 3.38



5.
Entry from the Alexandria database: a relaxed structure of CaCo2AgAu (GGA-PBEsol).

Total DFT energy (no corrections) = -3.282 eV/atom

Lattice parameters (Å, degrees): 4.3142 4.3142 4.9018 90.00 90.00 90.00
With the nearest neighbours (Å) after each atom.
Atoms (fractional coordinates):
Ca: 0.0000 0.0000 0.0000  4 Co 2.16
Co: 0.0000 0.5000 0.0000  2 Ca 2.16
Co: 0.5000 0.0000 0.0000  2 Ca 2.16
Ag: 0.0000 0.0000 0.5000  2 Ca 2.45
Au: 0.5000 0.5000 0.5000  4 Ag 3.05, 8 Co 3.26



6.
Entry from the Alexandria database: a relaxed structure of Y2MgAl (GGA-PBEsol).

Relative energy among the computed polymorphs = 222 meV/atom

Lattice parameters (Å, degrees): 3.5132 3.5132 29.7173 90.00 90.00 120.00
With the nearest neighbours (Å) after each atom.
Atoms (fractional coordinates):
Y: 0.0000 0.0000 0.2423  3 Al 3.03, 3 Mg 3.38
Y: 0.0000 0.0000 0.7577  3 Al 3.03, 3 Mg 3.38
Y: 0.3333 0.6667 0.4244  3 Al 3.03, 3 Mg 3.38
Y: 0.3333 0.6667 0.9090  3 Al 3.03, 3 Mg 3.38
Y: 0.6667 0.3333 0.0910  3 Al 3.03, 3 Mg 3.38
Y: 0.6667 0.3333 0.5756  3 Al 3.03, 3 Mg 3.38
Mg: 0.0000 0.0000 0.0000  6 Y 3.38, 6 Mg 3.51
Mg: 0.3333 0.6667 0.6667  6 Y 3.38, 6 Mg 3.51
Mg: 0.6667 0.3333 0.3333  6 Y 3.38, 6 Mg 3.51
Al: 0.0000 0.0000 0.5000  6 Y 3.03
Al: 0.3333 0.6667 0.1667  6 Y 3.03
Al: 0.6667 0.3333 0.8333  6 Y 3.03



7.
Entry from the Alexandria database: a relaxed structure of Mg2TcIrN (GGA-PBEsol).

Raw formation energy = 0.21 eV per atom

Lattice parameters (Å, degrees): 4.2972 4.2972 3.7808 90.00 90.00 90.00
With the nearest neighbours (Å) after each atom.
Atoms (fractional coordinates):
Mg: 0.0000 0.5000 0.0000  2 N 2.15
Mg: 0.5000 0.0000 0.0000  2 N 2.15
Tc: 0.0000 0.0000 0.5000  8 Mg 2.86, 4 Ir 3.04
Ir: 0.5000 0.5000 0.5000  2 N 1.89
N: 0.5000 0.5000 0.0000  2 Ir 1.89



8.
Entry from the Alexandria database: a relaxed structure of YSi2Se (GGA-PBEsol).

Raw formation energy = -0.60 eV per atom

Lattice parameters (Å, degrees): 3.8982 3.8736 5.7917 90.00 106.28 90.00
With the nearest neighbours (Å) after each atom.
Atoms (fractional coordinates):
Y: 0.0000 0.0000 0.0000  4 Se 2.86-2.92, 4 Si 2.95-3.00
Si: 0.1932 0.0000 0.5387  2 Si 2.33
Si: 0.4741 0.5000 0.7231  2 Si 2.33, 1 Se 2.47
Se: 0.5565 0.5000 0.1622  1 Si 2.47



9.
Entry from the Alexandria database: a relaxed structure of BaSr2Y2Cu2PtO10 (GGA-PBEsol).

Raw formation energy = -2.21 eV per atom

Lattice parameters (Å, degrees): 6.7383 6.7383 7.3237 104.24 104.24 49.56
With the nearest neighbours (Å) after each atom.
Atoms (fractional coordinates):
Ba: 0.0000 0.0000 0.0000  1 O 2.46
Sr: 0.1510 0.1510 0.5313  8 O 2.56-2.63
Sr: 0.3014 0.3014 0.0619  1 O 2.38
Y: 0.4613 0.4613 0.6577  7 O 2.21-2.47
Y: 0.8393 0.8393 0.4041  7 O 2.22-2.44
Cu: 0.5661 0.5661 0.3367  4 O 1.91-2.05
Cu: 0.7353 0.7353 0.7255  4 O 1.92-2.03
Pt: 0.6491 0.6491 0.0314  6 O 1.98-2.03
O: 0.0631 0.5897 0.6498  1 Cu 1.92
O: 0.2381 0.7105 0.4100  1 Cu 1.91
O: 0.4026 0.8637 0.8138  1 Pt 2.03, 1 Cu 2.03
O: 0.4408 0.9021 0.2501  1 Pt 2.02, 1 Cu 2.05
O: 0.4776 0.4776 0.9838  1 Pt 2.03
O: 0.5897 0.0631 0.6498  1 Cu 1.92
O: 0.7105 0.2381 0.4100  1 Cu 1.91
O: 0.8165 0.8165 0.0778  1 Pt 1.98
O: 0.8637 0.4026 0.8138  1 Pt 2.03, 1 Cu 2.03
O: 0.9021 0.4408 0.2501  1 Pt 2.02, 1 Cu 2.05



10.
Entry from the Alexandria database: a relaxed structure of AgPt2Au (GGA-PBEsol).

Relative energy among the computed polymorphs = 26 meV/atom

Lattice parameters (Å, degrees): 2.7762 4.7475 9.6327 90.00 90.00 90.00
With the nearest neighbours (Å) after each atom.
Atoms (fractional coordinates):
Ag: 0.0000 0.0000 0.0000  4 Au 2.75, 2 Ag 2.78, 4 Pt 2.79
Ag: 0.5000 0.5000 0.5000  4 Au 2.75, 2 Ag 2.78, 4 Pt 2.79
Pt: 0.0000 0.5000 0.2488  6 Pt 2.75-2.78, 2 Au 2.77, 2 Ag 2.79
Pt: 0.0000 0.5000 0.7512  6 Pt 2.75-2.78, 2 Au 2.77, 2 Ag 2.79
Pt: 0.5000 0.0000 0.2512  6 Pt 2.75-2.78, 2 Au 2.77, 2 Ag 2.79
Pt: 0.5000 0.0000 0.7488  6 Pt 2.75-2.78, 2 Au 2.77, 2 Ag 2.79
Au: 0.0000 0.0000 0.5000  4 Ag 2.75, 4 Pt 2.77, 2 Au 2.78
Au: 0.5000 0.5000 0.0000  4 Ag 2.75, 4 Pt 2.77, 2 Au 2.78



11.
Entry from the Alexandria database: a relaxed structure of Mg4ZnSe2 (GGA-PBEsol).

Raw formation energy = -0.08 eV per atom
Relative energy among the computed polymorphs = 148 meV/atom

Lattice parameters (Å, degrees): 7.7654 7.7654 7.5441 90.00 90.00 90.00
With the nearest neighbours (Å) after each atom.
Atoms (fractional coordinates):
Mg: 0.0000 0.2748 0.0000  2 Se 2.57
Mg: 0.0000 0.7252 0.0000  2 Se 2.57
Mg: 0.2252 0.5000 0.5000  2 Se 2.57
Mg: 0.2748 0.0000 0.0000  2 Se 2.57
Mg: 0.5000 0.2252 0.5000  2 Se 2.57
Mg: 0.5000 0.7748 0.5000  2 Se 2.57
Mg: 0.7252 0.0000 0.0000  2 Se 2.57
Mg: 0.7748 0.5000 0.5000  2 Se 2.57
Zn: 0.0000 0.0000 0.5000  16 Mg 4.26-4.33, 8 Se 4.32
Zn: 0.5000 0.5000 0.0000  16 Mg 4.26-4.33, 8 Se 4.32
Se: 0.0000 0.5000 0.2500  4 Mg 2.57
Se: 0.0000 0.5000 0.7500  4 Mg 2.57
Se: 0.5000 0.0000 0.2500  4 Mg 2.57
Se: 0.5000 0.0000 0.7500  4 Mg 2.57



12.
Entry from the Alexandria database: a relaxed structure of ZnInPt2 (GGA-PBEsol).

Total DFT energy (no corrections) = -5.080 eV/atom

Lattice parameters (Å, degrees): 2.9009 3.7263 5.7743 90.00 90.00 90.00
With the nearest neighbours (Å) after each atom.
Atoms (fractional coordinates):
Zn: 0.0000 0.0000 0.0000  8 Pt 2.73, 2 In 2.89, 2 Zn 2.90
In: 0.0000 0.0000 0.5000  8 Pt 2.80, 2 Zn 2.89, 2 In 2.90
Pt: 0.5000 0.5000 0.2379  4 Zn 2.73, 4 Pt 2.75-3.03, 4 In 2.80
Pt: 0.5000 0.5000 0.7621  4 Zn 2.73, 4 Pt 2.75-3.03, 4 In 2.80



| no. | volume (Å³ per cell) |
| --- | --- |
| 1 | 163.3 |
| 2 | 130.7 |
| 3 | 231.9 |
| 4 | 98.1 |
| 5 | 91.2 |
| 6 | 317.6 |
| 7 | 69.8 |
| 8 | 83.9 |
| 9 | 243.6 |
| 10 | 127.0 |
| 11 | 454.9 |
| 12 | 62.4 |